Arrangement w

Density functional theory data (PBE) for AgS2Cl8 after structural relaxation.

abc: 7.5395 7.5395 9.0110
angles: 113.11 113.11 81.05
Fractional positions:
Ag (0.0000, 0.0000, 0.0000)
S (0.2872, 0.2872, 0.6575)
S (0.7128, 0.7128, 0.3425)
Cl (0.0716, 0.4650, 0.7482)
Cl (0.2316, 0.2316, 0.2185)
Cl (0.4650, 0.0716, 0.7482)
Cl (0.4857, 0.4857, 0.7303)
Cl (0.5143, 0.5143, 0.2697)
Cl (0.5350, 0.9284, 0.2518)
Cl (0.7684, 0.7684, 0.7815)
Cl (0.9284, 0.5350, 0.2518)

Output
Total moment = 1.04 μB per formula unit
DOS at the Fermi energy = 0.280 states/eV per atom



Arrangement x

Density functional theory data (PBE) for AgS2Cl8 after structural relaxation.

abc: 7.5042 7.5042 7.5303
angles: 102.87 102.87 55.84
Fractional positions:
Ag (0.0000, 0.0000, 0.0000)
S (0.1883, 0.1883, 0.6105)
S (0.8117, 0.8117, 0.3895)
Cl (0.2009, 0.7393, 0.2035)
Cl (0.2607, 0.7991, 0.7965)
Cl (0.2796, 0.2796, 0.4329)
Cl (0.2910, 0.2910, 0.8541)
Cl (0.7090, 0.7090, 0.1459)
Cl (0.7204, 0.7204, 0.5671)
Cl (0.7393, 0.2009, 0.2035)
Cl (0.7991, 0.2607, 0.7965)

Output
Total moment = 0.00 μB per formula unit
DOS at the Fermi energy = 0.293 states/eV per atom



Tell me which of them is the most stable. Sure, it is arrangement x.



Arrangement w

Density functional theory data (PBE) for AgSbS2Cl after structural relaxation.

abc: 4.9259 4.9259 4.7189
angles: 90.00 90.00 90.00
Fractional positions:
Ag (0.0000, 0.0000, 0.0000)
Sb (0.5000, 0.5000, 0.5000)
S (0.0000, 0.5000, 0.0000)
S (0.5000, 0.0000, 0.0000)
Cl (0.0000, 0.0000, 0.5000)

Output
Total moment = 0.00 μB per formula unit
DOS at the Fermi energy = 0.375 states/eV per atom



Arrangement x

Density functional theory data (PBE) for AgSbS2Cl after structural relaxation.

abc: 5.0550 5.0550 5.2263
angles: 90.00 90.00 90.00
Fractional positions:
Ag (0.0000, 0.0000, 0.0000)
Sb (0.5000, 0.5000, 0.5000)
S (0.0000, 0.5000, 0.5000)
S (0.5000, 0.0000, 0.5000)
Cl (0.5000, 0.5000, 0.0000)

Output
Total moment = 0.00 μB per formula unit
DOS at the Fermi energy = 0.347 states/eV per atom



Arrangement y

Density functional theory data (PBE) for AgSbS2Cl after structural relaxation.

abc: 6.3828 5.2197 7.8678
angles: 90.00 98.55 90.00
Fractional positions:
Ag (0.1421, 0.2500, 0.3946)
Ag (0.8579, 0.7500, 0.6054)
Sb (0.1873, 0.2500, 0.8924)
Sb (0.8127, 0.7500, 0.1076)
S (0.0980, 0.7500, 0.3932)
S (0.1195, 0.7500, 0.9457)
S (0.8805, 0.2500, 0.0543)
S (0.9020, 0.2500, 0.6068)
Cl (0.4469, 0.2500, 0.2321)
Cl (0.5531, 0.7500, 0.7679)

Output
Total moment = 0.00 μB per formula unit
DOS at the Fermi energy = 0.163 states/eV per atom



Tell me which of them is the most stable. Sure, it is arrangement y.



Arrangement w

Density functional theory data (PBE) for ScAgSCl2 after structural relaxation.

abc: 4.9304 4.9304 4.9679
angles: 90.00 90.00 90.00
Fractional positions:
Sc (0.0000, 0.0000, 0.0000)
Ag (0.5000, 0.5000, 0.5000)
S (0.5000, 0.5000, 0.0000)
Cl (0.0000, 0.5000, 0.5000)
Cl (0.5000, 0.0000, 0.5000)

Output
Total moment = 0.77 μB per formula unit
DOS at the Fermi energy = 0.816 states/eV per atom



Arrangement x

Density functional theory data (PBE) for ScAgSCl2 after structural relaxation.

abc: 4.9513 4.9513 5.0153
angles: 90.00 90.00 90.00
Fractional positions:
Sc (0.0000, 0.0000, 0.0000)
Ag (0.5000, 0.5000, 0.5000)
S (0.0000, 0.0000, 0.5000)
Cl (0.0000, 0.5000, 0.0000)
Cl (0.5000, 0.0000, 0.0000)

Output
Total moment = 0.00 μB per formula unit



Tell me which of them is the most stable. Sure, it is arrangement x.



Arrangement w

Density functional theory data (PBE) for AgSeSCl2 after structural relaxation.

abc: 4.8120 4.8120 5.2467
angles: 90.00 90.00 90.00
Fractional positions:
Ag (0.0000, 0.0000, 0.0000)
Se (0.5000, 0.5000, 0.5000)
S (0.0000, 0.0000, 0.5000)
Cl (0.0000, 0.5000, 0.0000)
Cl (0.5000, 0.0000, 0.0000)

Output
Total moment = 1.46 μB per formula unit
DOS at the Fermi energy = 0.624 states/eV per atom



Arrangement x

Density functional theory data (PBE) for AgSeSCl2 after structural relaxation.

abc: 4.9380 4.9380 4.9901
angles: 90.00 90.00 90.00
Fractional positions:
Ag (0.0000, 0.0000, 0.0000)
Se (0.5000, 0.5000, 0.5000)
S (0.5000, 0.5000, 0.0000)
Cl (0.0000, 0.5000, 0.5000)
Cl (0.5000, 0.0000, 0.5000)

Output
Total moment = 0.00 μB per formula unit
DOS at the Fermi energy = 0.167 states/eV per atom



Tell me which of them is the most stable. Sure, it is arrangement x.



Arrangement w

Density functional theory data (PBE) for AgSeS2Cl after structural relaxation.

abc: 4.8995 4.8995 4.7370
angles: 90.00 90.00 90.00
Fractional positions:
Ag (0.0000, 0.0000, 0.0000)
Se (0.5000, 0.5000, 0.5000)
S (0.0000, 0.5000, 0.0000)
S (0.5000, 0.0000, 0.0000)
Cl (0.0000, 0.0000, 0.5000)

Output
Total moment = 0.00 μB per formula unit
DOS at the Fermi energy = 0.980 states/eV per atom



Arrangement x

Density functional theory data (PBE) for AgSeS2Cl after structural relaxation.

abc: 4.8340 4.8340 4.9938
angles: 90.00 90.00 90.00
Fractional positions:
Ag (0.0000, 0.0000, 0.0000)
Se (0.5000, 0.5000, 0.5000)
S (0.0000, 0.5000, 0.5000)
S (0.5000, 0.0000, 0.5000)
Cl (0.5000, 0.5000, 0.0000)

Output
Total moment = 0.00 μB per formula unit
DOS at the Fermi energy = 0.471 states/eV per atom



Tell me which of them is the most stable. Sure, it is arrangement x.



Arrangement w

Density functional theory data (PBE) for SiAgS2Cl after structural relaxation.

abc: 4.8517 4.8517 4.8303
angles: 90.00 90.00 90.00
Fractional positions:
Si (0.0000, 0.0000, 0.0000)
Ag (0.5000, 0.5000, 0.5000)
S (0.0000, 0.5000, 0.5000)
S (0.5000, 0.0000, 0.5000)
Cl (0.5000, 0.5000, 0.0000)

Output
Total moment = 0.00 μB per formula unit
DOS at the Fermi energy = 0.463 states/eV per atom



Arrangement x

Density functional theory data (PBE) for SiAgS2Cl after structural relaxation.

abc: 4.5125 4.5125 4.9192
angles: 90.00 90.00 90.00
Fractional positions:
Si (0.0000, 0.0000, 0.0000)
Ag (0.5000, 0.5000, 0.5000)
S (0.0000, 0.5000, 0.0000)
S (0.5000, 0.0000, 0.0000)
Cl (0.0000, 0.0000, 0.5000)

Output
Total moment = 0.00 μB per formula unit
DOS at the Fermi energy = 0.274 states/eV per atom



Tell me which of them is the most stable. Sure, it is arrangement x.